A plane-wave DFT calculation with GGA-PBE was carried out for a relaxed Rb3Li2UCl9 crystal.

Magnetic moment, Bohr magnetons per cell: 2.00
Raw formation energy, eV/f.u.: -27.88
Electronic total energy, Ry per atom: -0.30632

Unit cell a=7.4034 b=7.4034 c=9.4367 alpha=90.00 beta=90.00 gamma=120.00
Space group P-3m1 (No. 164)
Asymmetric unit:
Rb: 0.0000 0.0000 0.0000 x1
Rb: 0.3333 0.6667 0.7184 x2
Li: 0.3333 0.6667 0.1071 x2
U: 0.0000 0.0000 0.5000 x1
Cl: 0.0000 0.5000 0.0000 x3
Cl: 0.1656 0.3313 0.3369 x6